DFT (PBE with a Hubbard U) results for an optimized crystal structure of HfCr2F11.

Lattice parameters (Å, degrees): 7.7681 7.7681 7.7681 114.89 113.61 100.28
Atoms (fractional coordinates):
Hf  0.2500  0.2500  0.0000
Hf  0.7500  0.7500  0.0000
Cr  0.1666  0.6645  0.8312
Cr  0.3334  0.1645  0.4979
Cr  0.6666  0.8355  0.5021
Cr  0.8334  0.3355  0.1688
F  0.0000  0.5000  0.5000
F  0.0659  0.9248  0.2655
F  0.0765  0.3435  0.1466
F  0.1593  0.4248  0.8590
F  0.1906  0.3163  0.5069
F  0.1969  0.9299  0.8534
F  0.3031  0.1565  0.7330
F  0.3094  0.8163  0.1257
F  0.3407  0.1997  0.2655
F  0.4235  0.5701  0.2670
F  0.4341  0.6997  0.8590
F  0.5000  0.0000  0.5000
F  0.5659  0.3003  0.1410
F  0.5765  0.4299  0.7330
F  0.6593  0.8003  0.7345
F  0.6906  0.1837  0.8743
F  0.6969  0.8435  0.2670
F  0.8031  0.0701  0.1466
F  0.8094  0.6837  0.4931
F  0.8407  0.5752  0.1410
F  0.9235  0.6565  0.8534
F  0.9341  0.0752  0.7345

Fermi-level density of states   2.810 states/eV/f.u.
V   354.0 Å³ per cell
Electronic total energy   -6.074 eV/atom